# 1
80
Lattice="-7.703 7.703 7.703 7.703 -7.703 7.703 7.703 7.703 -7.703" Properties=species:S:1:pos:R:3 comment="Nd3Ni5Se12 (PBE, relaxed)" sg="Ia-3d, No. 230" final_energy_ev_per_atom=-4.9876 e_form_raw_ev_per_fu=-14.73 crystal_system=cubic pbc="T T T"
Nd 3.852 1.926 0.000
Nd 7.703 3.852 -1.926
Nd 1.926 0.000 3.852
Nd 9.629 0.000 3.852
Nd 0.000 3.852 1.926
Nd 3.852 -1.926 7.703
Nd 3.852 9.629 0.000
Nd 7.703 3.852 5.777
Nd -1.926 7.703 3.852
Nd 5.777 7.703 3.852
Nd 0.000 3.852 9.629
Nd 3.852 5.777 7.703
Ni 0.000 0.000 0.000
Ni 3.852 3.852 -3.852
Ni 3.852 -3.852 3.852
Ni 7.703 0.000 0.000
Ni 11.555 1.926 0.000
Ni 7.703 -3.852 5.777
Ni 5.777 7.703 -3.852
Ni 5.777 0.000 3.852
Ni 3.852 5.777 0.000
Ni 7.703 3.852 1.926
Ni -3.852 3.852 3.852
Ni 0.000 7.703 0.000
Ni 0.000 0.000 7.703
Ni 3.852 3.852 3.852
Ni 0.000 3.852 5.777
Ni 3.852 1.926 7.703
Ni 1.926 7.703 3.852
Ni 1.926 0.000 11.555
Ni 0.000 11.555 1.926
Ni -3.852 5.777 7.703
Se 2.240 -0.486 0.831
Se 9.315 4.683 -4.338
Se 9.943 0.486 0.831
Se 9.315 -3.021 4.338
Se 7.217 -0.831 2.240
Se 12.041 -1.612 3.021
Se 0.831 2.240 -0.486
Se 10.724 3.365 -1.612
Se 4.683 4.338 -1.612
Se 6.872 2.240 0.486
Se -0.486 0.831 2.240
Se 4.338 -1.612 4.683
Se 7.217 6.872 -2.240
Se 4.338 1.612 3.021
Se 4.683 -4.338 9.315
Se 6.872 -2.240 7.217
Se 3.021 4.338 1.612
Se 8.534 5.464 0.486
Se 4.338 9.315 -3.021
Se 7.217 0.831 5.464
Se 2.240 7.217 -0.831
Se 9.315 3.021 3.365
Se 1.612 3.021 4.338
Se 2.240 0.486 6.872
Se 5.464 7.217 0.831
Se 6.091 4.683 3.365
Se -1.612 4.683 4.338
Se 5.464 0.486 8.534
Se 0.486 6.872 2.240
Se 3.365 -1.612 10.724
Se -0.831 2.240 7.217
Se 4.683 3.365 6.091
Se 0.831 9.943 0.486
Se 3.021 12.041 -1.612
Se 3.365 6.091 4.683
Se 0.486 0.831 9.943
Se 3.365 9.315 3.021
Se 8.190 6.872 5.464
Se 0.831 5.464 7.217
Se 3.021 3.365 9.315
Se -3.021 4.338 9.315
Se 6.872 5.464 8.190
Se -4.338 9.315 4.683
Se 0.486 8.534 5.464
Se -1.612 10.724 3.365
Se -2.240 7.217 6.872
Se -1.612 3.021 12.041
Se 5.464 8.190 6.872

# 2
8
Lattice="7.208 0.000 0.000 0.000 4.189 0.000 -2.411 0.000 7.471" Properties=species:S:1:pos:R:3 comment="CeTl2BiS4 (PBE, relaxed)" sg="P2/m, No. 10" final_energy_ev_per_atom=-4.7937 e_form_raw_ev_per_fu=-7.29 crystal_system=monoclinic pbc="T T T"
Ce 0.000 0.000 0.000
Tl -1.205 2.095 3.736
Tl 2.399 0.000 3.736
Bi 3.604 2.095 0.000
S 1.182 2.095 1.520
S -0.017 0.000 5.931
S 4.815 0.000 1.540
S 3.616 2.095 5.951

# 3
8
Lattice="-3.790 3.790 2.905 3.790 -3.790 2.905 3.790 3.790 -2.905" Properties=species:S:1:pos:R:3 comment="MgSc2Be (PBE, relaxed)" sg="I-42d, No. 122" final_energy_ev_per_atom=-4.0896 delta_e_f_kj_per_mol_atoms=39 crystal_system=tetragonal pbc="T T T"
Mg 0.000 0.000 0.000
Mg 0.000 3.790 1.453
Sc 1.895 -1.525 2.179
Sc 2.265 1.895 0.726
Sc 1.895 5.314 -0.726
Sc 1.525 1.895 3.631
Be 3.790 0.000 1.453
Be 0.000 0.000 2.905

# 4
4
Lattice="2.833 0.000 0.000 0.000 2.833 0.000 0.000 0.000 6.496" Properties=species:S:1:pos:R:3 comment="Li2PdRh (PBE, relaxed)" sg="P4/mmm, No. 123" final_energy_ev_per_atom=-4.2676 delta_e_f_kj_per_mol_atoms=-17 crystal_system=tetragonal pbc="T T T"
Li 0.000 0.000 1.602
Li 0.000 0.000 4.894
Pd 1.416 1.416 0.000
Rh 1.416 1.416 3.248

# 5
12
Lattice="6.864 0.000 0.000 0.000 4.461 0.000 -6.569 0.000 13.677" Properties=species:S:1:pos:R:3 comment="LiTeBr4 (PBE, relaxed)" sg="P2_1/c, No. 14" final_energy_ev_per_atom=-2.6324 e_form_raw_ev_per_fu=-4.05 crystal_system=monoclinic pbc="T T T"
Li 0.000 0.000 0.000
Li -3.284 2.231 6.839
Te 0.148 0.000 6.839
Te 3.432 2.231 0.000
Br -2.140 0.132 5.350
Br -5.424 2.099 12.189
Br -1.038 2.611 8.413
Br 2.246 4.081 1.574
Br -1.951 0.380 12.103
Br 1.333 1.851 5.264
Br 5.719 2.362 1.488
Br 2.435 4.330 8.327

# 6
5
Lattice="3.996 0.000 0.000 0.000 3.996 0.000 0.000 0.000 4.323" Properties=species:S:1:pos:R:3 comment="ZrInFe2N (PBE, relaxed)" sg="P4/mmm, No. 123" final_energy_ev_per_atom=-7.4242 e_form_raw_ev_per_fu=-0.58 crystal_system=tetragonal pbc="T T T"
Zr 0.000 0.000 0.000
In 1.998 1.998 0.000
Fe 0.000 1.998 2.162
Fe 1.998 0.000 2.162
N 0.000 0.000 2.162

# 7
5
Lattice="6.003 0.000 0.000 0.000 6.003 0.000 0.000 0.000 6.003" Properties=species:S:1:pos:R:3 comment="Ba3ZnNi (PBE, relaxed)" sg="Pm-3m, No. 221" final_energy_ev_per_atom=-2.4676 delta_e_f_kj_per_mol_atoms=9 crystal_system=cubic pbc="T T T"
Ba 0.000 0.000 3.001
Ba 0.000 3.001 0.000
Ba 3.001 0.000 0.000
Zn 3.001 3.001 3.001
Ni 0.000 0.000 0.000

# 8
4
Lattice="1.512 0.873 9.635 -1.512 0.873 9.635 0.000 -1.745 9.635" Properties=species:S:1:pos:R:3 comment="TeRuF2 (PBE, relaxed)" sg="R-3m, No. 166" final_energy_ev_per_atom=-4.6559 e_form_raw_ev_per_fu=-2.46 crystal_system=trigonal pbc="T T T"
Te 0.000 0.000 0.000
Ru 0.000 0.000 14.452
F 0.000 0.000 12.570
F 0.000 0.000 16.333

# 9
12
Lattice="3.095 -5.356 0.000 3.095 5.356 0.000 -2.065 0.000 5.850" Properties=species:S:1:pos:R:3 comment="Nd3Sm2NpN6 (PBE, relaxed)" sg="C2/m, No. 12" final_energy_ev_per_atom=-8.6161 e_form_raw_ev_per_fu=-16.76 crystal_system=monoclinic pbc="T T T"
Nd 0.000 0.000 0.000
Nd 3.095 1.792 0.000
Nd 3.095 -1.792 0.000
Sm 2.063 3.574 2.925
Sm 2.063 -3.574 2.925
Np 2.063 0.000 2.925
N 1.117 1.638 1.599
N 0.161 0.000 4.274
N 1.117 -1.638 1.599
N 3.009 1.638 4.252
N 3.965 0.000 1.576
N 3.009 -1.638 4.252

# 10
5
Lattice="3.902 0.000 0.000 0.000 3.902 0.000 0.000 0.000 3.861" Properties=species:S:1:pos:R:3 comment="Li2CoSbH (PBE, relaxed)" sg="P4/mmm, No. 123" final_energy_ev_per_atom=-3.9020 crystal_system=tetragonal pbc="T T T"
Li 0.000 1.951 0.000
Li 1.951 0.000 0.000
Co 0.000 0.000 1.931
Sb 1.951 1.951 1.931
H 0.000 0.000 0.000

# 11
7
Lattice="-2.997 2.997 3.077 2.997 -2.997 3.077 2.997 2.997 -3.077" Properties=species:S:1:pos:R:3 comment="MgTi2Rh4 (PBE, relaxed)" sg="I4/mmm, No. 139" final_energy_ev_per_atom=-7.1391 delta_e_f_kj_per_mol_atoms=-44 crystal_system=tetragonal pbc="T T T"
Mg 0.000 0.000 0.000
Ti 2.997 0.000 0.000
Ti 0.000 2.997 0.000
Rh 1.499 1.499 -1.539
Rh 1.499 -1.499 1.539
Rh -1.499 1.499 1.539
Rh 1.499 1.499 1.539

Please write out number 10 again, unchanged.
5
Lattice="3.902 0.000 0.000 0.000 3.902 0.000 0.000 0.000 3.861" Properties=species:S:1:pos:R:3 comment="Li2CoSbH (PBE, relaxed)" sg="P4/mmm, No. 123" final_energy_ev_per_atom=-3.9020 crystal_system=tetragonal pbc="T T T"
Li 0.000 1.951 0.000
Li 1.951 0.000 0.000
Co 0.000 0.000 1.931
Sb 1.951 1.951 1.931
H 0.000 0.000 0.000